## Tb5Ti (PBE-GGA)

Data for a relaxed structure of Tb5Ti.

a b c (Å): 7.713 7.713 4.897
angles (deg): 90.00 90.00 143.28
Atoms (fractional coordinates):
Tb  0.000  0.000  0.000
Tb  0.158  0.842  0.500
Tb  0.340  0.660  0.000
Tb  0.660  0.340  0.000
Tb  0.842  0.158  0.500
Ti  0.500  0.500  0.500

## Properties
As for the formation energy: 13.77 kJ per mole of atoms.

***

## BeNi2Pb (PBE-GGA)

Data for a relaxed structure of BeNi2Pb.

a b c (Å): 4.251 4.251 4.251
angles (deg): 60.00 60.00 60.00
Atoms (fractional coordinates):
Be  0.000  0.000  0.000
Ni  0.250  0.250  0.250
Ni  0.500  0.500  0.500
Pb  0.750  0.750  0.750

## Properties
The value obtained for the energy above the most stable polymorph in this dataset is 266 meV per atom. As for the formation energy: 31.26 kJ per mole of atoms.

***

## Li4Pu3AlS8 (PBE-GGA)

Data for a relaxed structure of Li4Pu3AlS8.

a b c (Å): 7.547 7.547 7.547
angles (deg): 61.79 61.79 61.79
Atoms (fractional coordinates):
Li  0.000  0.000  0.000
Li  0.000  0.500  0.500
Li  0.500  0.000  0.500
Li  0.500  0.500  0.000
Pu  0.000  0.000  0.500
Pu  0.000  0.500  0.000
Pu  0.500  0.000  0.000
Al  0.500  0.500  0.500
S  0.251  0.251  0.251
S  0.267  0.267  0.726
S  0.267  0.726  0.267
S  0.274  0.733  0.733
S  0.726  0.267  0.267
S  0.733  0.274  0.733
S  0.733  0.733  0.274
S  0.749  0.749  0.749

## Properties
For the formation energy (no corrections), the calculation gives -135.70 kJ per mole of atoms.

***

## Ba6TlHg (PBE-GGA)

Data for a relaxed structure of Ba6TlHg.

a b c (Å): 11.915 11.915 11.915
angles (deg): 150.36 150.36 42.41
Atoms (fractional coordinates):
Ba  0.090  0.590  0.500
Ba  0.247  0.247  0.000
Ba  0.410  0.910  0.500
Ba  0.590  0.090  0.500
Ba  0.753  0.753  0.000
Ba  0.910  0.410  0.500
Tl  0.000  0.000  0.000
Hg  0.500  0.500  0.000

## Properties
The value obtained for the energy above the most stable polymorph in this dataset is 0 meV per atom. As for the formation energy: -23.28 kJ per mole of atoms.

***

## HfZr2AlGa (PBE-GGA)

Data for a relaxed structure of HfZr2AlGa.

a b c (Å): 5.139 5.139 5.146
angles (deg): 90.00 90.00 90.00
Atoms (fractional coordinates):
Hf  0.000  0.000  0.000
Zr  0.000  0.500  0.000
Zr  0.500  0.000  0.000
Al  0.000  0.000  0.500
Ga  0.500  0.500  0.500

## Properties
As for the formation energy: 96.16 kJ per mole of atoms.

***

## Sr2Cd2Sn (PBE-GGA)

Data for a relaxed structure of Sr2Cd2Sn.

a b c (Å): 6.280 6.280 6.280
angles (deg): 118.32 118.32 92.93
Atoms (fractional coordinates):
Sr  0.250  0.750  0.500
Sr  0.750  0.250  0.500
Cd  0.157  0.157  0.000
Cd  0.843  0.843  0.000
Sn  0.500  0.500  0.000

## Properties
As for the formation energy: -16.17 kJ per mole of atoms.

***

no.,energy (eV/atom),density (g/cm³)
1,-5.0317,8.031
2,-4.4253,10.201
3,-6.8698,5.479
4,-2.0169,4.946
5,-5.7672,5.591
6,-2.0069,4.803